Material: Sc2VPd
Method: DFT, PBE-GGA
State: optimized geometry

```
data_Sc2VPd
_cell_length_a 4.650
_cell_length_b 4.650
_cell_length_c 3.409
_cell_angle_alpha 90.00
_cell_angle_beta 90.00
_cell_angle_gamma 90.00
_symmetry_space_group_name_H-M 'P 4/m m m'
_symmetry_Int_Tables_number 123
_symmetry_space_group_name_Hall '-P 4 2'
loop_
_atom_site_label
_atom_site_type_symbol
_atom_site_fract_x
_atom_site_fract_y
_atom_site_fract_z
Sc1 Sc 0.000 0.500 0.000
V1 V 0.000 0.000 0.500
Pd1 Pd 0.500 0.500 0.500
```

Computed properties:
- E above lowest polymorph (kJ/mol of formula units) = 0
- DOS at the Fermi energy (states/eV/atom) = 0.521
- energy of formation (meV/atom) = -324